Computed, not measured: a PBEsol-optimized structure of Mg2BiAuBr at the SCAN level of DFT.

```
Mg2BiAuBr
1.0
5.165 0.000 0.000
0.000 5.165 0.000
0.000 0.000 5.205
Mg Bi Au Br
2 1 1 1
direct
0.000 0.500 0.000
0.500 0.000 0.000
0.000 0.000 0.500
0.500 0.500 0.000
0.500 0.500 0.500
```

Computed properties:
Formation energy from raw total energies: 0.1012 eV/atom